# ErIr2 PBEsol relaxed
data_ErIr2
_chemical_formula_sum 'Er2 Ir4'
_symmetry_space_group_name_H-M 'P 1'
_symmetry_Int_Tables_number 1
_symmetry_space_group_name_Hall 'P 1'
_cell_length_a 5.2714
_cell_length_b 5.2714
_cell_length_c 5.2714
_cell_angle_alpha 60.00
_cell_angle_beta 60.00
_cell_angle_gamma 60.00
loop_
_atom_site_label
_atom_site_fract_x
_atom_site_fract_y
_atom_site_fract_z
Ir1 0.1250 0.6250 0.1250
Ir2 0.6250 0.1250 0.1250
Ir3 0.1250 0.1250 0.1250
Er1 0.7500 0.7500 0.7500
Er2 0.5000 0.5000 0.5000
Ir4 0.1250 0.1250 0.6250
# ΔH_f (0 K) in meV per atom: -821
# N(E_F) in states/eV/f.u.: 2.19

# Al3OsCl PBEsol relaxed
data_Al3OsCl
_chemical_formula_sum 'Al3 Os1 Cl1'
_symmetry_space_group_name_H-M 'P 1'
_symmetry_Int_Tables_number 1
_symmetry_space_group_name_Hall 'P 1'
_cell_length_a 4.7595
_cell_length_b 4.7595
_cell_length_c 4.7595
_cell_angle_alpha 90.00
_cell_angle_beta 90.00
_cell_angle_gamma 90.00
loop_
_atom_site_label
_atom_site_fract_x
_atom_site_fract_y
_atom_site_fract_z
Al1 0.0000 0.0000 0.5000
Cl1 0.5000 0.5000 0.5000
Al2 0.0000 0.5000 0.0000
Os1 0.0000 0.0000 0.0000
Al3 0.5000 0.0000 0.0000
# N(E_F) in states/eV/f.u.: 1.68
# ΔE_f (raw) in eV/atom: -0.054

# CsTi2Se2 PBEsol relaxed
data_CsTi2Se2
_chemical_formula_sum 'Cs1 Ti2 Se2'
_symmetry_space_group_name_H-M 'P 1'
_symmetry_Int_Tables_number 1
_symmetry_space_group_name_Hall 'P 1'
_cell_length_a 3.9840
_cell_length_b 3.9840
_cell_length_c 8.1558
_cell_angle_alpha 104.14
_cell_angle_beta 104.14
_cell_angle_gamma 90.00
loop_
_atom_site_label
_atom_site_fract_x
_atom_site_fract_y
_atom_site_fract_z
Se1 0.3553 0.3553 0.7105
Ti1 0.2500 0.7500 0.5000
Ti2 0.7500 0.2500 0.5000
Se2 0.6447 0.6447 0.2895
Cs1 0.0000 0.0000 0.0000
# N(E_F) in states/eV/f.u.: 5.02
# ΔE_f (raw) in eV/atom: -0.988

# SbIrPb2 PBEsol relaxed
data_SbIrPb2
_chemical_formula_sum 'Sb1 Ir1 Pb2'
_symmetry_space_group_name_H-M 'P 1'
_symmetry_Int_Tables_number 1
_symmetry_space_group_name_Hall 'P 1'
_cell_length_a 3.2421
_cell_length_b 3.2411
_cell_length_c 9.0266
_cell_angle_alpha 90.00
_cell_angle_beta 90.22
_cell_angle_gamma 90.00
loop_
_atom_site_label
_atom_site_fract_x
_atom_site_fract_y
_atom_site_fract_z
Sb1 0.5000 0.5000 0.5000
Pb1 0.9978 0.0000 0.8008
Pb2 0.0022 0.0000 0.1992
Ir1 0.5000 0.5000 0.0000
# N(E_F) in states/eV/f.u.: 2.81
# ΔE_f (raw) in eV/atom: 0.262